Entry 1:
A plane-wave DFT calculation with GGA-PBE was carried out for an optimized crystal structure of SrTl2Tc.

Results
Its space-group type is F-43m. The formation energy is 0.64 eV per atom.

Geometry as POSCAR:
```
SrTl2Tc
1.0
-3.1050 3.0705 3.0526
-0.9939 -1.3975 5.0445
2.1294 2.7925 4.0069
Tl Sr Tc
2 1 1
direct
0.2500 0.2500 0.2500
0.0000 0.0000 0.0000
0.5000 0.5000 0.5000
0.7500 0.7500 0.7500
```

=====

Entry 2:
A plane-wave DFT calculation with GGA-PBE was carried out for an optimized crystal structure of CsTl6In6.

Results
Its space-group type is Immm. The formation energy is -0.03 eV per atom.

Geometry as POSCAR:
```
CsTl6In6
1.0
5.9239 0.0000 2.3678
2.9424 7.9954 1.2329
-0.0051 -0.1387 8.6073
Tl In Cs
6 6 1
direct
0.7031 0.7969 0.7969
0.3542 0.6458 0.6458
0.0000 0.3565 0.6435
0.2969 0.2031 0.2031
0.0000 0.6435 0.3565
0.6458 0.3542 0.3542
0.0000 0.5000 0.0000
0.0000 0.0000 0.5000
0.5000 0.5000 0.0000
0.5000 0.2292 0.7708
0.5000 0.7708 0.2292
0.5000 0.0000 0.5000
0.0000 0.0000 0.0000
```

=====

Entry 3:
A plane-wave DFT calculation with GGA-PBE was carried out for an optimized crystal structure of UGaAu6.

Results
Its space-group type is P-1. The formation energy is -0.16 eV per atom.

Geometry as POSCAR:
```
UGaAu6
1.0
5.0310 -0.1008 0.7846
2.2990 4.1960 0.5565
-0.3093 -0.7819 7.3284
Au Ga U
6 1 1
direct
0.3616 0.8195 0.2858
0.2735 0.3639 0.0730
0.7265 0.6361 0.9270
0.6384 0.1805 0.7142
0.7012 0.1498 0.3304
0.2988 0.8502 0.6696
0.0000 0.0000 0.0000
0.0000 0.5000 0.5000
```

=====

Entry 4:
A plane-wave DFT calculation with GGA-PBE was carried out for an optimized crystal structure of Tc3AgI.

Results
Its space-group type is Pm-3m. The calculation puts the energy relative to the elements, uncorrected at 2.03 eV/atom.

Geometry as POSCAR:
```
Tc3AgI
1.0
-0.5677 3.6648 -3.0835
-4.1381 1.1880 2.1739
2.4114 2.9015 3.0046
Tc I Ag
3 1 1
direct
0.5000 0.0000 0.0000
0.0000 0.5000 0.0000
0.0000 0.0000 0.5000
0.0000 0.0000 0.0000
0.5000 0.5000 0.5000
```

=====

Entry 5:
A plane-wave DFT calculation with GGA-PBE was carried out for an optimized crystal structure of TaBi2Se4.

Results
Its space-group type is I4/mmm. The calculation puts the energy relative to the elements, uncorrected at -0.05 eV/atom.

Geometry as POSCAR:
```
TaBi2Se4
1.0
4.9695 0.0000 0.0000
0.0000 4.9695 0.0000
2.4848 2.4848 7.7163
Bi Se Ta
2 4 1
direct
0.6466 0.6466 0.7068
0.3534 0.3534 0.2932
0.0000 0.5000 0.0000
0.5000 0.0000 0.0000
0.8285 0.8285 0.3430
0.1715 0.1715 0.6570
0.0000 0.0000 0.0000
```

=====

Entry 6:
A plane-wave DFT calculation with GGA-PBE was carried out for an optimized crystal structure of Np4Ru.

Results
Its space-group type is Pm-3m. The formation energy is 1.02 eV per atom.

Geometry as POSCAR:
```
Np4Ru
1.0
-5.0477 0.2757 1.2308
-1.1071 -3.4008 -3.7787
0.6043 -3.9279 3.3581
Np Ru
4 1
direct
0.5000 0.0000 0.5000
0.5000 0.5000 0.0000
0.0000 0.0000 0.0000
0.0000 0.5000 0.5000
0.5000 0.5000 0.5000
```

=====

Entry 7:
A plane-wave DFT calculation with GGA-PBE was carried out for an optimized crystal structure of CoReBi2Cl.

Results
Its space-group type is P4/mmm. The calculation puts the energy relative to the elements, uncorrected at 1.70 eV/atom.

Geometry as POSCAR:
```
CoReBi2Cl
1.0
5.4992 0.0000 0.0000
0.0000 4.2400 0.0000
0.0000 0.0000 5.4992
Bi Co Re Cl
2 1 1 1
direct
0.0000 0.0000 0.5000
0.5000 0.0000 0.0000
0.5000 0.5000 0.5000
0.0000 0.5000 0.0000
0.0000 0.0000 0.0000
```

=====

Entry 8:
A plane-wave DFT calculation with GGA-PBE was carried out for an optimized crystal structure of HoPaRu4.

Results
Its space-group type is C2/m. The formation energy is -0.12 eV per atom.

Geometry as POSCAR:
```
HoPaRu4
1.0
-3.7369 0.5703 -0.5990
-1.1228 -0.0559 -5.2760
-3.0359 -5.1781 1.7824
Ru Ho Pa
4 1 1
direct
0.6183 0.1035 0.6598
0.1862 0.4868 0.1408
0.8138 0.5132 0.8592
0.3817 0.8965 0.3402
0.0000 0.0000 0.0000
0.5000 0.5000 0.5000
```